(1)
# Pm2Y2Pd15 PBE relaxed
# Spin magnetization = 0.00 μB per formula unit
# Fermi-level density of states = 50.570 states/eV/cell
# Formation enthalpy at 0 K = -561.4 meV/atom
data_Pm2Y2Pd15
_chemical_formula_sum 'Pm6 Y6 Pd45'
_space_group_name_H-M_alt 'R -3 m'
_space_group_IT_number 166
_space_group_name_Hall '-R 3 2"'
_cell_length_a 9.2518
_cell_length_b 9.2518
_cell_length_c 14.1886
_cell_angle_alpha 90.00
_cell_angle_beta 90.00
_cell_angle_gamma 120.00
loop_
_atom_site_label
_atom_site_type_symbol
_atom_site_fract_x
_atom_site_fract_y
_atom_site_fract_z
Pm1 Pm 0.0000 0.0000 0.1381
Y1 Y 0.0000 0.0000 0.3917
Pd1 Pd 0.0000 0.3076 0.5000
Pd2 Pd 0.0000 0.5000 0.0000
Pd3 Pd 0.0069 0.5035 0.6533

(2)
# CsGaI2O8 PBE relaxed
# Spin magnetization = 0.00 μB per formula unit
# Fermi-level density of states = 4.998 states/eV/cell
# Raw formation energy = -0.631 eV per atom
data_CsGaI2O8
_chemical_formula_sum 'Cs2 Ga2 I4 O16'
_space_group_name_H-M_alt 'C 1 2/m 1'
_space_group_IT_number 12
_cell_length_a 9.607
_cell_length_b 6.310
_cell_length_c 8.395
_cell_angle_alpha 90.00
_cell_angle_beta 121.55
_cell_angle_gamma 90.00
loop_
_space_group_symop_operation_xyz
'x,y,z'
'-x,-y,-z'
'-x,y,-z'
'x,-y,z'
'x+1/2,y+1/2,z'
'-x+1/2,-y+1/2,-z'
'-x+1/2,y+1/2,-z'
'x+1/2,-y+1/2,z'
loop_
_atom_site_label
_atom_site_type_symbol
_atom_site_fract_x
_atom_site_fract_y
_atom_site_fract_z
Cs1 Cs 0.000 0.000 0.000
Ga1 Ga 0.000 0.500 0.500
I1 I 0.197 0.000 0.642
O1 O 0.064 0.000 0.387
O2 O 0.095 0.500 0.320
O3 O 0.178 0.303 0.675

(3)
# ZnBi4Pd15 PBE relaxed
# Spin magnetization = 0.00 μB per formula unit
# Fermi-level density of states = 8.609 states/eV/cell
# Formation enthalpy at 0 K = -268.9 meV/atom
data_ZnBi4Pd15
_chemical_formula_sum 'Zn1 Bi4 Pd15'
_space_group_name_H-M_alt 'P 4/m m m'
_space_group_IT_number 123
_space_group_name_Hall '-P 4 2'
_cell_length_a 4.108
_cell_length_b 4.108
_cell_length_c 20.324
_cell_angle_alpha 90.00
_cell_angle_beta 90.00
_cell_angle_gamma 90.00
loop_
_atom_site_label
_atom_site_type_symbol
_atom_site_fract_x
_atom_site_fract_y
_atom_site_fract_z
Zn1 Zn 0.000 0.000 0.000
Bi1 Bi 0.000 0.000 0.187
Bi2 Bi 0.000 0.000 0.396
Pd1 Pd 0.000 0.500 0.091
Pd2 Pd 0.000 0.500 0.296
Pd3 Pd 0.000 0.500 0.500
Pd4 Pd 0.500 0.500 0.000
Pd5 Pd 0.500 0.500 0.197
Pd6 Pd 0.500 0.500 0.399

(4)
# AlPIN2 PBE relaxed
# Spin magnetization = 0.00 μB per formula unit
# Fermi-level density of states = 3.351 states/eV/cell
# Raw formation energy = 1.097 eV per atom
# Relative energy among the computed polymorphs = 0.00 kcal/mol of atoms
data_AlPIN2
_chemical_formula_sum 'Al1 P1 I1 N2'
_space_group_name_H-M_alt 'P 4/m m m'
_space_group_IT_number 123
_space_group_name_Hall '-P 4 2'
_cell_length_a 3.731
_cell_length_b 3.731
_cell_length_c 7.633
_cell_angle_alpha 90.00
_cell_angle_beta 90.00
_cell_angle_gamma 90.00
loop_
_atom_site_label
_atom_site_type_symbol
_atom_site_fract_x
_atom_site_fract_y
_atom_site_fract_z
Al1 Al 0.000 0.000 0.000
P1 P 0.500 0.500 0.500
I1 I 0.000 0.000 0.500
N1 N 0.000 0.500 0.000

(5)
# DyTmCu3 PBE relaxed
# Spin magnetization = 0.00 μB per formula unit
# Fermi-level density of states = 13.709 states/eV/cell
# Formation enthalpy at 0 K = -261.7 meV/atom
data_DyTmCu3
_chemical_formula_sum 'Dy4 Tm4 Cu12'
_space_group_name_H-M_alt 'C m c m'
_space_group_IT_number 63
_space_group_name_Hall '-C 2c 2'
_cell_length_a 3.569
_cell_length_b 25.320
_cell_length_c 4.278
_cell_angle_alpha 90.00
_cell_angle_beta 90.00
_cell_angle_gamma 90.00
loop_
_atom_site_label
_atom_site_type_symbol
_atom_site_fract_x
_atom_site_fract_y
_atom_site_fract_z
Dy1 Dy 0.000 0.072 0.250
Tm1 Tm 0.000 0.205 0.750
Cu1 Cu 0.000 0.327 0.750
Cu2 Cu 0.000 0.381 0.250
Cu3 Cu 0.000 0.477 0.250

(6)
# Hf2Si2W PBE relaxed
# Spin magnetization = 0.00 μB per formula unit
# Fermi-level density of states = 1.510 states/eV/cell
# Raw formation energy = -0.719 eV per atom
# Relative energy among the computed polymorphs = 0.00 kcal/mol of atoms
data_Hf2Si2W
_chemical_formula_sum 'Hf4 Si4 W2'
_space_group_name_H-M_alt 'P 4/m b m'
_space_group_IT_number 127
_space_group_name_Hall '-P 4 2ab'
_cell_length_a 6.668
_cell_length_b 6.668
_cell_length_c 3.757
_cell_angle_alpha 90.00
_cell_angle_beta 90.00
_cell_angle_gamma 90.00
loop_
_atom_site_label
_atom_site_type_symbol
_atom_site_fract_x
_atom_site_fract_y
_atom_site_fract_z
Hf1 Hf 0.174 0.326 0.000
Si1 Si 0.128 0.628 0.500
W1 W 0.000 0.000 0.500

(7)
# BeAg2W PBE relaxed
# Spin magnetization = 0.00 μB per formula unit
# Fermi-level density of states = 1.848 states/eV/cell
# Formation enthalpy at 0 K = 263.8 meV/atom
data_BeAg2W
_chemical_formula_sum 'Be1 Ag2 W1'
_space_group_name_H-M_alt 'P 4 m m'
_space_group_IT_number 99
_cell_length_a 2.779
_cell_length_b 2.779
_cell_length_c 7.648
_cell_angle_alpha 90.00
_cell_angle_beta 90.00
_cell_angle_gamma 90.00
loop_
_space_group_symop_operation_xyz
'x,y,z'
'-y,x,z'
'-x,-y,z'
'y,-x,z'
'-x,y,z'
'y,x,z'
'x,-y,z'
'-y,-x,z'
loop_
_atom_site_label
_atom_site_type_symbol
_atom_site_fract_x
_atom_site_fract_y
_atom_site_fract_z
Be1 Be 0.000 0.000 0.000
Ag1 Ag 0.000 0.000 0.503
Ag2 Ag 0.500 0.500 0.207
W1 W 0.500 0.500 0.790

(8)
# Na2LiSb2Pt PBE relaxed
# Spin magnetization = 0.00 μB per formula unit
# Fermi-level density of states = 12.343 states/eV/cell
# Raw formation energy = -0.433 eV per atom
data_Na2LiSb2Pt
_chemical_formula_sum 'Na8 Li4 Sb8 Pt4'
_space_group_name_H-M_alt 'I b a m'
_space_group_IT_number 72
_space_group_name_Hall '-I 2 2c'
_cell_length_a 6.213
_cell_length_b 14.511
_cell_length_c 6.534
_cell_angle_alpha 90.00
_cell_angle_beta 90.00
_cell_angle_gamma 90.00
loop_
_atom_site_label
_atom_site_type_symbol
_atom_site_fract_x
_atom_site_fract_y
_atom_site_fract_z
Na1 Na 0.240 0.167 0.000
Li1 Li 0.000 0.000 0.250
Sb1 Sb 0.227 0.390 0.000
Pt1 Pt 0.000 0.500 0.250

(9)
# KZrCr2 PBE relaxed
# Spin magnetization = 1.23 μB per formula unit
# Fermi-level density of states = 9.502 states/eV/cell
# Formation enthalpy at 0 K = 792.3 meV/atom
# Relative energy among the computed polymorphs = 4.53 kcal/mol of atoms
data_KZrCr2
_chemical_formula_sum 'K2 Zr2 Cr4'
_space_group_name_H-M_alt 'C 1 m 1'
_space_group_IT_number 8
_cell_length_a 7.422
_cell_length_b 3.021
_cell_length_c 8.734
_cell_angle_alpha 90.00
_cell_angle_beta 92.74
_cell_angle_gamma 90.00
loop_
_space_group_symop_operation_xyz
'x,y,z'
'x,-y,z'
'x+1/2,y+1/2,z'
'x+1/2,-y+1/2,z'
loop_
_atom_site_label
_atom_site_type_symbol
_atom_site_fract_x
_atom_site_fract_y
_atom_site_fract_z
K1 K 0.000 0.000 0.000
Zr1 Zr 0.223 0.000 0.606
Cr1 Cr 0.257 0.500 0.320
Cr2 Cr 0.486 0.000 0.423

(10)
# RbTiHS2 PBE relaxed
# Spin magnetization = 0.00 μB per formula unit
# Fermi-level density of states = 0.660 states/eV/cell
# Relative energy among the computed polymorphs = 20.70 kcal/mol of atoms
data_RbTiHS2
_chemical_formula_sum 'Rb1 Ti1 H1 S2'
_space_group_name_H-M_alt 'P 4/m m m'
_space_group_IT_number 123
_space_group_name_Hall '-P 4 2'
_cell_length_a 5.110
_cell_length_b 5.110
_cell_length_c 3.439
_cell_angle_alpha 90.00
_cell_angle_beta 90.00
_cell_angle_gamma 90.00
loop_
_atom_site_label
_atom_site_type_symbol
_atom_site_fract_x
_atom_site_fract_y
_atom_site_fract_z
Rb1 Rb 0.000 0.000 0.000
Ti1 Ti 0.500 0.500 0.000
H1 H 0.500 0.500 0.500
S1 S 0.000 0.500 0.500

(11)
# TmNpMnC3 PBE relaxed
# Spin magnetization = 2.21 μB per formula unit
# Fermi-level density of states = 15.739 states/eV/cell
# Formation enthalpy at 0 K = 41.0 meV/atom
data_TmNpMnC3
_chemical_formula_sum 'Tm2 Np2 Mn2 C6'
_space_group_name_H-M_alt 'P 1 21/m 1'
_space_group_IT_number 11
_cell_length_a 7.021
_cell_length_b 3.440
_cell_length_c 7.200
_cell_angle_alpha 90.00
_cell_angle_beta 92.92
_cell_angle_gamma 90.00
loop_
_space_group_symop_operation_xyz
'x,y,z'
'-x,-y,-z'
'-x,y+1/2,-z'
'x,-y+1/2,z'
loop_
_atom_site_label
_atom_site_type_symbol
_atom_site_fract_x
_atom_site_fract_y
_atom_site_fract_z
Tm1 Tm 0.148 0.250 0.175
Np1 Np 0.370 0.750 0.816
Mn1 Mn 0.094 0.250 0.586
C1 C 0.130 0.250 0.841
C2 C 0.163 0.750 0.508
C3 C 0.407 0.750 0.128